The following is a DFT calculation (PBE) of LaCuSe2 after structural relaxation.

Properties
Formation energy from raw total energies in meV/atom: -1070
ρ in g/cm3: 6.58
Total DFT energy (no corrections) in eV per atom: -5.07

Lattice parameters (Å, degrees): 4.2884 5.7357 7.3892 90.00 90.00 90.00
With the nearest neighbours (Å) after each atom.
Space group Immm (No. 71)
Unique sites:
La: 0.0000 0.0000 0.0000 [2 per cell]  8 Se 3.01-3.27
Cu: 0.0000 0.0000 0.5000 [2 per cell]  4 Se 2.66
Se: 0.0000 0.5000 0.2132 [4 per cell]  2 Cu 2.66